A relaxed structure of ZnSeN2F. Source: the Alexandria database, functional PBE.

Structure (extended XYZ):
```
5
Lattice="-1.111 -1.146 -3.651 1.799 -3.512 0.555 -3.229 -1.428 1.430" Properties=species:S:1:pos:R:3 pbc="T T T"
Zn 0.000 0.000 0.000
N 0.900 -1.756 0.278
F -1.614 -0.714 0.715
N -0.555 -0.573 -1.826
Se -1.270 -3.043 -0.833
```

Summary:
**SG**: P4/mmm (123)
**E above lowest polymorph**: 114.8 meV/atom
**Total magnetic moment**: 0.02 μB per formula unit

A relaxed structure of Si2NF. Source: the Alexandria database, functional PBE.

Structure (extended XYZ):
```
4
Lattice="0.000 2.857 2.857 2.857 0.000 2.857 2.857 2.857 0.000" Properties=species:S:1:pos:R:3 pbc="T T T"
N 0.000 0.000 0.000
Si 4.285 4.285 4.285
Si 1.428 1.428 1.428
F 2.857 2.857 2.857
```

Summary:
**SG**: Fm-3m (225)
**E above lowest polymorph**: 709.6 meV/atom
**Total magnetic moment**: 0.00 μB per formula unit

A relaxed structure of SiNF3. Source: the Alexandria database, functional PBE.

Structure (extended XYZ):
```
5
Lattice="3.920 0.000 0.000 0.000 3.920 0.000 0.000 0.000 3.920" Properties=species:S:1:pos:R:3 pbc="T T T"
N 0.000 0.000 0.000
F 0.000 0.000 1.960
F 0.000 1.960 0.000
Si 1.960 1.960 1.960
F 1.960 0.000 0.000
```

Summary:
**SG**: Pm-3m (221)
**E above lowest polymorph**: 1122.4 meV/atom
**Total magnetic moment**: 1.20 μB per formula unit

A relaxed structure of SiNF3. Source: the Alexandria database, functional PBE.

Structure (extended XYZ):
```
5
Lattice="-1.245 1.775 -3.218 -2.964 -2.494 -0.229 -2.173 2.385 2.156" Properties=species:S:1:pos:R:3 pbc="T T T"
N -3.191 0.833 -0.645
Si 0.000 0.000 0.000
F -1.482 -1.247 -0.114
F -1.087 1.192 1.078
F -0.623 0.887 -1.609
```

Summary:
**SG**: Pm-3m (221)
**E above lowest polymorph**: 0.0 meV/atom
**Total magnetic moment**: 2.88 μB per formula unit

A relaxed structure of Si3NF. Source: the Alexandria database, functional PBE.

Structure (extended XYZ):
```
5
Lattice="4.198 0.000 0.000 0.000 4.198 0.000 0.000 0.000 4.198" Properties=species:S:1:pos:R:3 pbc="T T T"
Si 0.000 2.099 0.000
Si 0.000 0.000 2.099
Si 2.099 0.000 0.000
N 0.000 0.000 0.000
F 2.099 2.099 2.099
```

Summary:
**SG**: Pm-3m (221)
**Total magnetic moment**: 0.00 μB per formula unit

A relaxed structure of Si2NF. Source: the Alexandria database, functional PBE.

Structure (extended XYZ):
```
8
Lattice="6.035 0.000 0.000 0.000 6.035 0.000 3.017 3.017 2.447" Properties=species:S:1:pos:R:3 pbc="T T T"
Si 4.075 1.509 0.612
Si 4.526 4.977 1.835
N 3.017 6.035 1.223
N 3.017 3.017 0.000
F 6.035 3.017 1.223
Si 7.544 7.092 1.835
Si 1.960 4.526 0.612
F 0.000 0.000 0.000
```

Summary:
**SG**: I-42d (122)
**E above lowest polymorph**: 0.0 meV/atom
**Total magnetic moment**: 0.00 μB per formula unit

A relaxed structure of SiN2F. Source: the Alexandria database, functional PBE.

Structure (extended XYZ):
```
4
Lattice="2.895 -5.607 -0.041 1.832 -5.175 -3.111 4.612 -3.747 -2.124" Properties=species:S:1:pos:R:3 pbc="T T T"
N 0.874 -1.360 -0.494
Si 0.000 0.000 0.000
N 8.464 -13.168 -4.783
F 4.669 -7.264 -2.638
```

Summary:
**SG**: R-3m (166)
**E above lowest polymorph**: 1683.9 meV/atom
**Total magnetic moment**: 3.01 μB per formula unit

A relaxed structure of SiN2F6. Source: the Alexandria database, functional PBE.

Structure (extended XYZ):
```
9
Lattice="4.866 -2.156 0.121 1.552 -2.831 4.232 0.584 -5.276 -0.396" Properties=species:S:1:pos:R:3 pbc="T T T"
N 1.751 -2.566 0.989
F 4.246 -3.508 0.965
F 1.909 -5.211 0.683
F 2.757 -6.756 2.992
F 4.565 -6.387 0.749
Si 0.000 0.000 0.000
N 5.252 -7.698 2.968
F 5.093 -5.053 3.275
F 2.438 -3.876 3.209
```

Summary:
**SG**: Fm-3m (225)
**E above lowest polymorph**: 153.0 meV/atom
**Total magnetic moment**: 4.00 μB per formula unit

Number 1: ΔE_f (raw) 1.065 eV per atom, density of states at the Fermi level 3.1 states/eV/cell, E -17.96 eV per cell. Number 2: ΔE_f (raw) 0.446 eV per atom, density of states at the Fermi level 0.8 states/eV/cell, E -19.26 eV per cell. Number 3: ΔE_f (raw) 0.417 eV per atom, density of states at the Fermi level 3.2 states/eV/cell, E -17.28 eV per cell. Number 4: ΔE_f (raw) -0.705 eV per atom, density of states at the Fermi level 0.7 states/eV/cell, E -22.89 eV per cell. Number 5: ΔE_f (raw) 0.689 eV per atom, density of states at the Fermi level 3.6 states/eV/cell, E -23.02 eV per cell. Number 6: ΔE_f (raw) -0.264 eV per atom, density of states at the Fermi level 0.0 states/eV/cell, E -44.20 eV per cell. Number 7: ΔE_f (raw) 1.787 eV per atom, density of states at the Fermi level 1.2 states/eV/cell, E -16.80 eV per cell. Number 8: ΔE_f (raw) -0.514 eV per atom, density of states at the Fermi level 11.1 states/eV/cell, E -37.93 eV per cell.